1.
Here is a geometry-optimized TlS3F structure from Alexandria via LeMat-Bulk. Energies are from GGA-PBE.

POSCAR file:
```
TlS3F
1.0
-0.7646 5.1518 -0.0311
-5.0854 -0.7497 0.8390
0.8254 0.1536 5.1402
S F Tl
3 1 1
Cartesian
-0.3823 2.5759 -0.0156 S
-2.5427 -0.3748 0.4195 S
0.4127 0.0768 2.5701 S
-2.5123 2.2779 2.9740 F
0.0000 0.0000 0.0000 Tl
```

Properties
As for the total energy: -2.43 eV per atom. As for the uncorrected formation energy: 0.89 eV per atom. Its space-group type is Pm-3m (221).

---

2.
Here is a geometry-optimized Tl2SF structure from Alexandria via LeMat-Bulk. Energies are from GGA-PBE.

POSCAR file:
```
Tl2SF
1.0
-3.3317 0.6797 2.2500
-2.3219 -3.1289 1.2016
1.8401 -1.3952 6.8407
S Tl F
1 2 1
Cartesian
-1.7823 -1.9415 5.3362 S
0.9332 -1.2543 5.4552 Tl
-1.0862 -0.9404 2.3701 Tl
-1.9448 -3.0255 9.1175 F
```

Properties
As for the total energy: -3.50 eV per atom. As for the uncorrected formation energy: -0.81 eV per atom. Its space-group type is R3m (160).

---

3.
Here is a geometry-optimized Tl2SF structure from Alexandria via LeMat-Bulk. Energies are from GGA-PBE.

POSCAR file:
```
Tl2SF
1.0
0.0000 3.5227 3.5227
3.5227 0.0000 3.5227
3.5227 3.5227 0.0000
S F Tl
1 1 2
Cartesian
3.5227 3.5227 3.5227 S
0.0000 0.0000 0.0000 F
5.2841 5.2841 5.2841 Tl
1.7614 1.7614 1.7614 Tl
```

Properties
As for the total energy: -3.46 eV per atom. As for the uncorrected formation energy: -0.78 eV per atom. Its space-group type is Fm-3m (225).

---

4.
Here is a geometry-optimized Tl4SF3 structure from Alexandria via LeMat-Bulk. Energies are from GGA-PBE.

POSCAR file:
```
Tl4SF3
1.0
5.3702 0.0000 0.0000
0.0000 6.1662 0.0000
0.0000 0.0000 12.1331
Tl F S
8 6 2
Cartesian
0.3436 4.7205 0.0000 Tl
0.3453 4.6363 6.0665 Tl
0.3474 1.5869 8.9579 Tl
3.0287 1.4457 6.0665 Tl
3.0325 4.5793 9.2418 Tl
0.3474 1.5869 3.1752 Tl
3.0304 1.5299 0.0000 Tl
3.0325 4.5793 2.8913 Tl
0.3491 4.1162 8.7956 F
3.0251 5.1800 0.0000 F
3.0342 2.0500 2.7291 F
0.3400 0.9862 6.0665 F
0.3491 4.1162 3.3375 F
3.0342 2.0500 9.4040 F
3.0303 4.5212 6.0665 S
0.3452 1.6450 0.0000 S
```

Properties
As for the total energy: -3.70 eV per atom. As for the uncorrected formation energy: -1.30 eV per atom. Its space-group type is Pmn2_1 (31).

---

5.
Here is a geometry-optimized Tl3SF2 structure from Alexandria via LeMat-Bulk. Energies are from GGA-PBE.

POSCAR file:
```
Tl3SF2
1.0
-3.0109 -3.9956 -1.7693
-0.2028 -3.2661 7.7211
-3.7811 6.2544 0.2684
Tl F S
6 4 2
Cartesian
-1.6576 -4.4474 4.9062 Tl
-1.8800 1.2118 0.4630 Tl
-5.0133 -0.5859 1.8968 Tl
-1.9815 -0.4214 4.3235 Tl
-5.1149 -2.2191 5.7573 Tl
-1.5561 -2.8143 1.0457 Tl
-2.9799 -2.7462 3.3143 F
-4.0150 1.7389 2.9060 F
-4.1165 0.1057 6.7665 F
-2.8783 -1.1130 -0.5462 F
-0.0508 -0.8166 1.9302 S
-3.1630 -6.4451 4.0216 S
```

Properties
As for the total energy: -3.68 eV per atom. As for the uncorrected formation energy: -1.19 eV per atom. Its space-group type is Immm (71).

---

6.
Here is a geometry-optimized Tl12S3F5 structure from Alexandria via LeMat-Bulk. Energies are from GGA-PBE.

POSCAR file:
```
Tl12S3F5
1.0
14.6626 0.0000 0.0000
-4.8875 13.8240 0.0000
-4.8875 -6.9120 11.9720
Tl F S
48 20 12
Cartesian
3.0335 8.7064 1.0742 Tl
1.8541 1.8275 10.9551 Tl
-4.2383 6.1354 6.4447 Tl
0.6492 8.6310 8.0771 Tl
-5.9925 3.7540 8.5358 Tl
3.0335 5.0845 1.0169 Tl
10.3648 6.9451 2.0911 Tl
-0.5897 8.7395 1.0169 Tl
-4.7535 5.4068 11.5132 Tl
-3.0930 7.8545 9.4221 Tl
-5.4772 -0.0331 9.8809 Tl
5.4772 -1.8275 10.9551 Tl
-5.0215 10.0127 4.4530 Tl
9.6411 1.5053 0.4587 Tl
9.1258 0.7766 5.5273 Tl
-1.7945 -0.7766 5.5273 Tl
-0.5897 5.1176 1.0742 Tl
1.3388 1.0988 7.0028 Tl
-1.3388 -3.7540 8.5358 Tl
7.4653 12.3188 0.4587 Tl
9.9091 -3.1006 7.5189 Tl
5.5368 5.9696 9.4221 Tl
10.8800 3.1580 3.4362 Tl
7.9805 -0.9425 2.5498 Tl
-0.6492 0.9425 2.5498 Tl
5.9925 -1.0988 7.0028 Tl
-3.7826 11.7648 1.5329 Tl
6.7416 6.8789 2.0911 Tl
4.7535 2.3061 7.0602 Tl
2.3098 9.2181 4.9117 Tl
1.8541 -1.7944 10.8977 Tl
-2.5778 3.1006 7.5189 Tl
5.4772 1.7944 10.8977 Tl
6.2263 2.0592 1.5329 Tl
6.2263 10.6660 3.4362 Tl
-1.1050 8.0108 4.9691 Tl
0.1340 4.6059 4.9117 Tl
6.6821 7.6886 6.4447 Tl
-1.8541 0.0331 9.8809 Tl
1.7945 5.1930 8.0771 Tl
-1.3388 4.8528 10.4390 Tl
3.0930 1.7190 3.8949 Tl
4.2383 -1.7190 3.8949 Tl
3.5487 5.8132 4.9691 Tl
8.6701 -4.8528 10.4390 Tl
7.4653 3.8114 4.4530 Tl
2.5778 -2.3061 7.0602 Tl
-2.5778 -5.4068 11.5132 Tl
-1.2219 3.4560 2.9930 F
-2.4438 -3.4560 5.9860 F
0.0000 0.0000 0.0000 F
6.1094 3.4560 8.9790 F
3.6656 2.5920 1.4965 F
1.2219 -3.4560 8.9790 F
1.2219 4.3200 10.4755 F
-4.8875 3.4560 5.9860 F
7.3313 0.0000 0.0000 F
6.1094 -4.3200 10.4755 F
8.5532 -0.8640 7.4825 F
4.8875 6.9120 0.0000 F
-3.6656 7.7760 4.4895 F
-1.2219 11.2320 1.4965 F
-2.4438 6.9120 0.0000 F
3.6656 10.3680 2.9930 F
6.1094 6.0480 4.4895 F
4.8875 -3.4560 5.9860 F
-1.2219 0.8640 7.4825 F
2.4438 3.4560 5.9860 F
3.6656 0.0000 8.9790 S
6.1094 0.8640 4.4895 S
8.5532 9.5040 1.4965 S
10.9969 0.0000 2.9930 S
-3.6656 -2.5920 10.4755 S
1.2219 6.9120 2.9930 S
-6.1094 6.9120 8.9790 S
-1.2219 6.0480 7.4825 S
3.6656 7.7760 7.4825 S
-3.6656 2.5920 10.4755 S
1.2219 -0.8640 4.4895 S
8.5532 4.3200 1.4965 S
```

Properties
As for the total energy: -3.41 eV per atom. As for the uncorrected formation energy: -0.91 eV per atom. Its space-group type is Ia-3d (230).